# TiCoPb2O5 | the Alexandria database | GGA+U | optimized geometry
# - Total moment: 3.0 μB/f.u.
# - E: -238.8 eV/cell
# - Crystal system: orthorhombic
data_TiCoPb2O5
_chemical_formula_sum 'Ti4 Co4 Pb8 O20'
_cell_length_a 3.172
_cell_length_b 13.133
_cell_length_c 12.332
_cell_angle_alpha 90.00
_cell_angle_beta 90.00
_cell_angle_gamma 90.00
_symmetry_space_group_name_H-M 'C m c 21'
_symmetry_Int_Tables_number 36
loop_
_symmetry_equiv_pos_as_xyz
'x,y,z'
'-x,-y,z+1/2'
'-x,y,z'
'x,-y,z+1/2'
'x+1/2,y+1/2,z'
'-x+1/2,-y+1/2,z+1/2'
'-x+1/2,y+1/2,z'
'x+1/2,-y+1/2,z+1/2'
loop_
_atom_site_label
_atom_site_type_symbol
_atom_site_fract_x
_atom_site_fract_y
_atom_site_fract_z
_atom_site_occupancy
Ti1 Ti 0.000 0.199 0.000 1
Co1 Co 0.000 0.499 0.929 1
Pb1 Pb 0.000 0.065 0.672 1
Pb2 Pb 0.000 0.186 0.290 1
O1 O 0.000 0.040 0.021 1
O2 O 0.000 0.282 0.593 1
O3 O 0.000 0.335 0.939 1
O4 O 0.000 0.339 0.396 1
O5 O 0.000 0.473 0.767 1